Material: Ce2SmHf
Method: DFT, PBE
State: relaxed

## Properties
DFT formation energy: 0.326 eV per atom

a = 3.2086 Å, b = 3.2086 Å, c = 12.2864 Å
α = 82.50°, β = 82.50°, γ = 60.00°
With the nearest neighbours (Å) after each atom.
Fractional coordinates of all 4 atoms:
1 Hf 0.0000 0.0000 0.0000  2 Ce 2.93, 6 Hf 3.21
2 Ce 0.9196 0.9196 0.2412  1 Hf 2.93, 6 Ce 3.21
3 Ce 0.0804 0.0804 0.7588  1 Hf 2.93, 6 Ce 3.21
4 Sm 0.5000 0.5000 0.5000  6 Sm 3.21

Material: KS3O
Method: DFT, PBE
State: relaxed

## Properties
uncorrected energy: -3.296 eV/atom

a = 4.4550 Å, b = 4.4550 Å, c = 4.4550 Å
α = 90.00°, β = 90.00°, γ = 90.00°
With the nearest neighbours (Å) after each atom.
Fractional coordinates of all 5 atoms:
1 S 0.0000 0.0000 0.5000  2 O 2.23
2 S 0.0000 0.5000 0.0000  2 O 2.23
3 S 0.5000 0.0000 0.0000  2 O 2.23
4 O 0.0000 0.0000 0.0000  6 S 2.23
5 K 0.5000 0.5000 0.5000  12 S 3.15